Record 1
# Nd3Tl3BiTe8

Nd3Tl3BiTe8 after structural relaxation (PBE, Alexandria via LeMat-Bulk).

* VASP energy: -4.22 eV/atom

abc: 9.115 9.116 9.585
angles: 118.41 89.99 120.01
Sites, in units of the cell vectors:
Te 0.241 0.481 0.722
Te 0.241 0.981 0.722
Te 0.759 0.519 0.278
Te 0.740 0.981 0.722
Te 0.260 0.019 0.278
Te 0.742 0.483 0.725
Te 0.258 0.517 0.275
Te 0.759 0.019 0.278
Nd 0.500 0.500 0.500
Nd 0.000 0.500 0.500
Nd 0.500 0.000 0.500
Tl 0.000 0.500 0.000
Tl 0.000 0.000 0.000
Tl 0.500 0.500 0.000
Bi 0.000 0.000 0.500


Record 2
# Nd2Tl3BiTe6

Nd2Tl3BiTe6 after structural relaxation (PBE, Alexandria via LeMat-Bulk).

* VASP energy: -4.09 eV/atom

abc: 7.934 7.934 8.546
angles: 98.91 98.91 120.05
Sites, in units of the cell vectors:
Te 0.743 0.743 0.222
Te 0.257 0.257 0.778
Te 0.596 0.927 0.781
Te 0.404 0.073 0.219
Te 0.073 0.404 0.219
Te 0.927 0.596 0.781
Nd 0.334 0.666 0.000
Nd 0.666 0.334 0.000
Tl 0.831 0.169 0.500
Tl 0.169 0.831 0.500
Tl 0.500 0.500 0.500
Bi 0.000 0.000 0.000


Record 3
# NdYBiTe

NdYBiTe after structural relaxation (PBE, Alexandria via LeMat-Bulk).

* VASP energy: -5.73 eV/atom

abc: 4.498 4.498 7.768
angles: 73.17 73.17 60.00
Sites, in units of the cell vectors:
Te 0.691 0.691 0.928
Y 0.944 0.944 0.169
Bi 0.197 0.197 0.408
Nd 0.445 0.445 0.666


no.,raw formation energy (meV per atom)
1,-854.9
2,-811.6
3,-1164.6